Density functional theory data (PBE-GGA) for a geometry-optimized PaV3As2 structure.

```
data_PaV3As2
_chemical_formula_sum 'Pa4 V12 As8'
_space_group_name_H-M_alt 'C 1 2/m 1'
_space_group_IT_number 12
_cell_length_a 13.562
_cell_length_b 4.117
_cell_length_c 8.058
_cell_angle_alpha 90.00
_cell_angle_beta 116.62
_cell_angle_gamma 90.00
loop_
_space_group_symop_operation_xyz
'x,y,z'
'-x,-y,-z'
'-x,y,-z'
'x,-y,z'
'x+1/2,y+1/2,z'
'-x+1/2,-y+1/2,-z'
'-x+1/2,y+1/2,-z'
'x+1/2,-y+1/2,z'
loop_
_atom_site_label
_atom_site_fract_x
_atom_site_fract_y
_atom_site_fract_z
_atom_site_occupancy
Pa1 0.150 0.000 0.057 1
V1 0.044 0.000 0.373 1
V2 0.077 0.500 0.663 1
V3 0.191 0.500 0.488 1
As1 0.034 0.500 0.177 1
As2 0.192 0.000 0.709 1
```

size of the total moment	0.001	Bohr magnetons per cell
E_form	-0.490	eV per atom
E_tot	-8.18	eV per atom
crystal system	monoclinic

Density functional theory data (PBE-GGA) for a geometry-optimized Gd3Ga5F12 structure.

```
data_Gd3Ga5F12
_chemical_formula_sum 'Gd24 Ga40 F96'
_space_group_name_H-M_alt 'I a -3 d'
_space_group_IT_number 230
_space_group_name_Hall '-I 4bd 2c 3'
_cell_length_a 14.251
_cell_length_b 14.251
_cell_length_c 14.251
_cell_angle_alpha 90.00
_cell_angle_beta 90.00
_cell_angle_gamma 90.00
loop_
_atom_site_label
_atom_site_fract_x
_atom_site_fract_y
_atom_site_fract_z
_atom_site_occupancy
Gd1 0.000 0.250 0.125 1
Ga1 0.000 0.000 0.000 1
Ga2 0.000 0.250 0.375 1
F1 0.017 0.091 0.650 1
```

size of the total moment	167.168	Bohr magnetons per cell
E_tot	-6.49	eV per atom
crystal system	cubic
formation energy without anion corrections	-2495	meV/atom

Density functional theory data (PBE-GGA) for a geometry-optimized Tm2Ga4Os structure.

```
data_Tm2Ga4Os
_chemical_formula_sum 'Tm4 Ga8 Os2'
_space_group_name_H-M_alt 'I 4/m m m'
_space_group_IT_number 139
_space_group_name_Hall '-I 4 2'
_cell_length_a 4.724
_cell_length_b 4.724
_cell_length_c 15.480
_cell_angle_alpha 90.00
_cell_angle_beta 90.00
_cell_angle_gamma 90.00
loop_
_atom_site_label
_atom_site_fract_x
_atom_site_fract_y
_atom_site_fract_z
_atom_site_occupancy
Tm1 0.000 0.000 0.168 1
Ga1 0.000 0.000 0.356 1
Ga2 0.000 0.500 0.000 1
Os1 0.000 0.000 0.000 1
```

size of the total moment	0.000	Bohr magnetons per cell
E_form	-0.001	eV per atom
E_tot	-4.61	eV per atom
crystal system	tetragonal

Density functional theory data (PBE-GGA) for a geometry-optimized SrAsOs2 structure.

```
data_SrAsOs2
_chemical_formula_sum 'Sr2 As2 Os4'
_space_group_name_H-M_alt 'C 1 2/m 1'
_space_group_IT_number 12
_cell_length_a 5.714
_cell_length_b 10.618
_cell_length_c 2.765
_cell_angle_alpha 90.00
_cell_angle_beta 118.77
_cell_angle_gamma 90.00
loop_
_space_group_symop_operation_xyz
'x,y,z'
'-x,-y,-z'
'-x,y,-z'
'x,-y,z'
'x+1/2,y+1/2,z'
'-x+1/2,-y+1/2,-z'
'-x+1/2,y+1/2,-z'
'x+1/2,-y+1/2,z'
loop_
_atom_site_label
_atom_site_fract_x
_atom_site_fract_y
_atom_site_fract_z
_atom_site_occupancy
Sr1 0.000 0.000 0.000 1
As1 0.000 0.500 0.000 1
Os1 0.250 0.250 0.500 1
```

size of the total moment	0.000	Bohr magnetons per cell
E_form	0.794	eV per atom
E_tot	-6.40	eV per atom
crystal system	monoclinic

Density functional theory data (PBE-GGA) for a geometry-optimized ScOs2Br structure.

```
data_ScOs2Br
_chemical_formula_sum 'Sc2 Os4 Br2'
_space_group_name_H-M_alt 'I m m m'
_space_group_IT_number 71
_space_group_name_Hall '-I 2 2'
_cell_length_a 2.968
_cell_length_b 4.548
_cell_length_c 9.727
_cell_angle_alpha 90.00
_cell_angle_beta 90.00
_cell_angle_gamma 90.00
loop_
_atom_site_label
_atom_site_fract_x
_atom_site_fract_y
_atom_site_fract_z
_atom_site_occupancy
Sc1 0.000 0.000 0.000 1
Os1 0.000 0.500 0.232 1
Br1 0.000 0.000 0.500 1
```

energy above the most stable polymorph in this dataset	413	meV/atom
size of the total moment	0.000	Bohr magnetons per cell
E_tot	-7.24	eV per atom
crystal system	orthorhombic
formation energy without anion corrections	372	meV/atom

Density functional theory data (PBE-GGA) for a geometry-optimized LaNd6Sm3 structure.

```
data_LaNd6Sm3
_chemical_formula_sum 'La3 Nd18 Sm9'
_space_group_name_H-M_alt 'R 3 2'
_space_group_IT_number 155
_space_group_name_Hall 'R 3 2"'
_cell_length_a 10.1097
_cell_length_b 10.1097
_cell_length_c 11.9908
_cell_angle_alpha 90.00
_cell_angle_beta 90.00
_cell_angle_gamma 120.00
loop_
_atom_site_label
_atom_site_fract_x
_atom_site_fract_y
_atom_site_fract_z
_atom_site_occupancy
La1 0.0000 0.0000 0.0000 1
Nd1 0.0000 0.3269 0.0000 1
Nd2 0.0000 0.6758 0.5000 1
Sm1 0.0000 0.0000 0.2521 1
Sm2 0.0000 0.0000 0.5000 1
```

energy above the most stable polymorph in this dataset	96	meV/atom
size of the total moment	0.000	Bohr magnetons per cell
E_form	0.227	eV per atom
E_tot	-4.54	eV per atom
crystal system	trigonal

Density functional theory data (PBE-GGA) for a geometry-optimized LaMn2Ru structure.

```
data_LaMn2Ru
_chemical_formula_sum 'La2 Mn4 Ru2'
_space_group_name_H-M_alt 'C 1 2/m 1'
_space_group_IT_number 12
_cell_length_a 5.638
_cell_length_b 7.380
_cell_length_c 3.498
_cell_angle_alpha 90.00
_cell_angle_beta 90.13
_cell_angle_gamma 90.00
loop_
_space_group_symop_operation_xyz
'x,y,z'
'-x,-y,-z'
'-x,y,-z'
'x,-y,z'
'x+1/2,y+1/2,z'
'-x+1/2,-y+1/2,-z'
'-x+1/2,y+1/2,-z'
'x+1/2,-y+1/2,z'
loop_
_atom_site_label
_atom_site_fract_x
_atom_site_fract_y
_atom_site_fract_z
_atom_site_occupancy
La1 0.000 0.000 0.000 1
Mn1 0.250 0.250 0.500 1
Ru1 0.000 0.500 0.000 1
```

size of the total moment	15.089	Bohr magnetons per cell
E_form	0.412	eV per atom
E_tot	-7.72	eV per atom
crystal system	monoclinic

Density functional theory data (PBE-GGA) for a geometry-optimized CaNd6Tm5 structure.

```
data_CaNd6Tm5
_chemical_formula_sum 'Ca2 Nd12 Tm10'
_space_group_name_H-M_alt 'C 1 2/m 1'
_space_group_IT_number 12
_cell_length_a 11.875
_cell_length_b 10.880
_cell_length_c 6.260
_cell_angle_alpha 90.00
_cell_angle_beta 100.24
_cell_angle_gamma 90.00
loop_
_space_group_symop_operation_xyz
'x,y,z'
'-x,-y,-z'
'-x,y,-z'
'x,-y,z'
'x+1/2,y+1/2,z'
'-x+1/2,-y+1/2,-z'
'-x+1/2,y+1/2,-z'
'x+1/2,-y+1/2,z'
loop_
_atom_site_label
_atom_site_fract_x
_atom_site_fract_y
_atom_site_fract_z
_atom_site_occupancy
Ca1 0.000 0.000 0.000 1
Nd1 0.246 0.329 0.748 1
Nd2 0.248 0.500 0.260 1
Tm1 0.000 0.172 0.500 1
Tm2 0.000 0.339 0.000 1
Tm3 0.000 0.500 0.500 1
```

size of the total moment	0.000	Bohr magnetons per cell
E_form	0.037	eV per atom
E_tot	-4.38	eV per atom
crystal system	monoclinic

> Which formula does entry 1 have?

PaV3As2

> Number 6 is which compound?

LaNd6Sm3

Copy entry 3 word for word.
Density functional theory data (PBE-GGA) for a geometry-optimized Tm2Ga4Os structure.

```
data_Tm2Ga4Os
_chemical_formula_sum 'Tm4 Ga8 Os2'
_space_group_name_H-M_alt 'I 4/m m m'
_space_group_IT_number 139
_space_group_name_Hall '-I 4 2'
_cell_length_a 4.724
_cell_length_b 4.724
_cell_length_c 15.480
_cell_angle_alpha 90.00
_cell_angle_beta 90.00
_cell_angle_gamma 90.00
loop_
_atom_site_label
_atom_site_fract_x
_atom_site_fract_y
_atom_site_fract_z
_atom_site_occupancy
Tm1 0.000 0.000 0.168 1
Ga1 0.000 0.000 0.356 1
Ga2 0.000 0.500 0.000 1
Os1 0.000 0.000 0.000 1
```

size of the total moment	0.000	Bohr magnetons per cell
E_form	-0.001	eV per atom
E_tot	-4.61	eV per atom
crystal system	tetragonal

> Which value of size of the total moment does entry 6 give?

0.000 Bohr magnetons per cell